DFT (GGA-PBE) results for CeSi2MoOs after structural relaxation.

a b c (Å): 4.147 4.147 10.323
angles (deg): 90.00 90.00 90.00
Space group I-4m2 (No. 119)
Symmetry-distinct sites (fractional):
Ce1 0.000 0.000 0.000 (multiplicity 2)
Si1 0.000 0.000 0.380 (multiplicity 4)
Mo1 0.000 0.500 0.750 (multiplicity 2)
Os1 0.000 0.500 0.250 (multiplicity 2)

## Properties
DOS(E_F)	1.59	states/eV per atom
uncorrected energy	-8.29	eV/atom

---

DFT (GGA-PBE) results for LiUNiTe3 after structural relaxation.

a b c (Å): 8.190 4.009 9.496
angles (deg): 90.00 95.38 90.00
Space group P2_1/m (No. 11)
Symmetry-distinct sites (fractional):
Li1 0.141 0.250 0.151 (multiplicity 2)
U1 0.341 0.750 0.720 (multiplicity 2)
Ni1 0.440 0.750 0.429 (multiplicity 2)
Te1 0.111 0.250 0.843 (multiplicity 2)
Te2 0.252 0.250 0.468 (multiplicity 2)
Te3 0.408 0.750 0.152 (multiplicity 2)

## Properties
DOS(E_F)	0.93	states/eV per atom
uncorrected energy	-5.35	eV/atom

---

DFT (GGA-PBE) results for Sr6Ag2PtN after structural relaxation.

a b c (Å): 7.423 8.028 13.068
angles (deg): 90.00 123.82 90.00
Space group P2_1/c (No. 14)
Symmetry-distinct sites (fractional):
Sr1 0.131 0.024 0.233 (multiplicity 4)
Sr2 0.223 0.711 0.050 (multiplicity 4)
Sr3 0.342 0.178 0.048 (multiplicity 4)
Ag1 0.288 0.085 0.751 (multiplicity 4)
Pt1 0.500 0.000 0.500 (multiplicity 2)
N1 0.000 0.000 0.000 (multiplicity 2)

## Properties
DOS(E_F)	0.74	states/eV per atom
uncorrected energy	-3.45	eV/atom

---

DFT (GGA-PBE) results for HfMnSi after structural relaxation.

a b c (Å): 6.597 3.642 11.437
angles (deg): 90.00 90.09 90.00
Space group P2_1/m (No. 11)
Symmetry-distinct sites (fractional):
Hf1 0.026 0.250 0.289 (multiplicity 2)
Hf2 0.350 0.750 0.919 (multiplicity 2)
Hf3 0.471 0.750 0.619 (multiplicity 2)
Mn1 0.007 0.250 0.910 (multiplicity 2)
Mn2 0.138 0.250 0.544 (multiplicity 2)
Mn3 0.353 0.750 0.203 (multiplicity 2)
Si1 0.231 0.750 0.420 (multiplicity 2)
Si2 0.233 0.250 0.081 (multiplicity 2)
Si3 0.272 0.250 0.750 (multiplicity 2)

## Properties
DOS(E_F)	0.62	states/eV per atom
uncorrected energy	-8.87	eV/atom

---

DFT (GGA-PBE) results for TmTiRh2 after structural relaxation.

a b c (Å): 4.646 4.646 3.167
angles (deg): 90.00 90.00 90.00
Space group P4/mmm (No. 123)
Symmetry-distinct sites (fractional):
Tm1 0.000 0.000 0.000 (multiplicity 1)
Ti1 0.500 0.500 0.000 (multiplicity 1)
Rh1 0.000 0.500 0.500 (multiplicity 2)

## Properties
DOS(E_F)	0.96	states/eV per atom
ΔH_f (0 K)	-3.0	eV/f.u.
offset from the most stable computed form	0.0694	eV/atom
uncorrected energy	-7.52	eV/atom

---

DFT (GGA-PBE) results for Sr2Tl13 after structural relaxation.

a b c (Å): 9.0894 9.0894 24.2338
angles (deg): 90.00 90.00 120.00
Space group R-3m (No. 166, hexagonal axes)
Symmetry-distinct sites (fractional):
Sr1 0.0000 0.0000 0.2419 (multiplicity 6)
Tl1 0.0000 0.0000 0.0000 (multiplicity 3)
Tl2 0.0797 0.5399 0.3005 (multiplicity 18)
Tl3 0.0916 0.5458 0.5578 (multiplicity 18)

## Properties
DOS(E_F)	0.56	states/eV per atom
ΔH_f (0 K)	0.2	eV/f.u.
uncorrected energy	-2.26	eV/atom

---

DFT (GGA-PBE) results for Li3SbBr6 after structural relaxation.

a b c (Å): 7.783 7.890 7.891
angles (deg): 61.11 61.31 61.30
Space group P-1 (No. 2)
Symmetry-distinct sites (fractional):
Li1 0.000 0.000 0.000 (multiplicity 1)
Li2 0.000 0.500 0.500 (multiplicity 1)
Li3 0.500 0.000 0.500 (multiplicity 1)
Sb1 0.000 0.500 0.000 (multiplicity 1)
Br1 0.228 0.775 0.771 (multiplicity 2)
Br2 0.232 0.275 0.271 (multiplicity 2)
Br3 0.239 0.248 0.748 (multiplicity 2)

## Properties
DOS(E_F)	0.00	states/eV per atom
uncorrected energy	-3.07	eV/atom

---

DFT (GGA-PBE) results for Li2BiRuO8 after structural relaxation.

a b c (Å): 4.572 6.467 4.954
angles (deg): 90.00 92.71 90.00
Space group P2/m (No. 10)
Symmetry-distinct sites (fractional):
Li1 0.000 0.195 0.000 (multiplicity 2)
Bi1 0.500 0.500 0.500 (multiplicity 1)
Ru1 0.500 0.000 0.500 (multiplicity 1)
O1 0.143 0.500 0.038 (multiplicity 2)
O2 0.235 0.000 0.222 (multiplicity 2)
O3 0.288 0.229 0.671 (multiplicity 4)

## Properties
DOS(E_F)	0.38	states/eV per atom
uncorrected energy	-5.56	eV/atom

---

DFT (GGA-PBE) results for Cr3As after structural relaxation.

a b c (Å): 4.022 4.022 3.147
angles (deg): 90.00 90.00 90.00
Space group P4/mmm (No. 123)
Symmetry-distinct sites (fractional):
Cr1 0.000 0.000 0.000 (multiplicity 1)
Cr2 0.000 0.500 0.500 (multiplicity 2)
As1 0.500 0.500 0.000 (multiplicity 1)

## Properties
DOS(E_F)	0.57	states/eV per atom
ΔH_f (0 K)	0.3	eV/f.u.
uncorrected energy	-8.31	eV/atom

---

DFT (GGA-PBE) results for Nd5Si3C after structural relaxation.

a b c (Å): 8.7795 8.7795 6.7712
angles (deg): 90.00 90.00 120.00
Space group P6_3/mcm (No. 193)
Symmetry-distinct sites (fractional):
Nd1 0.0000 0.2235 0.2500 (multiplicity 6)
Nd2 0.3333 0.6667 0.0000 (multiplicity 4)
Si1 0.0000 0.4131 0.7500 (multiplicity 6)
C1 0.0000 0.0000 0.0000 (multiplicity 2)

## Properties
DOS(E_F)	0.98	states/eV per atom
uncorrected energy	-5.94	eV/atom

---

DFT (GGA-PBE) results for AgB2Br after structural relaxation.

a b c (Å): 5.431 5.431 9.698
angles (deg): 90.00 90.00 90.00
Space group I-42d (No. 122)
Symmetry-distinct sites (fractional):
Ag1 0.000 0.000 0.000 (multiplicity 4)
B1 0.217 0.250 0.125 (multiplicity 8)
Br1 0.000 0.000 0.500 (multiplicity 4)

## Properties
DOS(E_F)	0.07	states/eV per atom
offset from the most stable computed form	0.0000	eV/atom
uncorrected energy	-3.01	eV/atom

---

DFT (GGA-PBE) results for GaIr2 after structural relaxation.

a b c (Å): 8.372 3.996 5.416
angles (deg): 90.00 103.35 90.00
Space group Cm (No. 8)
Symmetry-distinct sites (fractional):
Ga1 0.000 0.000 0.000 (multiplicity 2)
Ga2 0.187 0.500 0.359 (multiplicity 2)
Ir1 0.024 0.000 0.491 (multiplicity 2)
Ir2 0.180 0.500 0.831 (multiplicity 2)
Ir3 0.313 0.000 0.190 (multiplicity 2)
Ir4 0.363 0.000 0.705 (multiplicity 2)

## Properties
DOS(E_F)	0.77	states/eV per atom
ΔH_f (0 K)	-0.5	eV/f.u.
uncorrected energy	-7.09	eV/atom

---

Which value of DOS(E_F) does entry 12 give? 0.77 states/eV per atom

---

The highest DOS(E_F) belongs to which entry? CeSi2MoOs